#a
Computed, not measured: a geometry-optimized ZrTe3Se structure at the PBE level of DFT.

Unit cell a=5.3547 b=5.3547 c=5.3547 alpha=90.00 beta=90.00 gamma=90.00
Each line ends with the local moment (μB).
Positions (direct):
1 Te 0.0000 0.5000 0.0000  -0.10
2 Te 0.0000 0.0000 0.5000  -0.09
3 Te 0.5000 0.0000 0.0000  -0.10
4 Se 0.0000 0.0000 0.0000  0.01
5 Zr 0.5000 0.5000 0.5000  0.94

=====

#b
Computed, not measured: a geometry-optimized ZrTe3Se structure at the PBE level of DFT.

Unit cell a=5.5496 b=5.5496 c=5.5496 alpha=90.00 beta=90.00 gamma=90.00
Each line ends with the local moment (μB).
Positions (direct):
1 Te 0.0000 0.5000 0.0000  0.00
2 Te 0.0000 0.0000 0.5000  0.03
3 Te 0.5000 0.0000 0.0000  -0.01
4 Se 0.5000 0.5000 0.5000  0.32
5 Zr 0.0000 0.0000 0.0000  0.05

=====

Most stable: #b (next structure +366 meV/atom)

=====

#a
Computed, not measured: a geometry-optimized ZrTeSe3 structure at the PBE level of DFT.

Unit cell a=5.2547 b=5.2547 c=5.2547 alpha=90.00 beta=90.00 gamma=90.00
Each line ends with the local moment (μB).
Positions (direct):
1 Te 0.0000 0.0000 0.0000  0.03
2 Se 0.0000 0.5000 0.0000  -0.11
3 Se 0.0000 0.0000 0.5000  -0.09
4 Se 0.5000 0.0000 0.0000  -0.08
5 Zr 0.5000 0.5000 0.5000  1.22

=====

#b
Computed, not measured: a geometry-optimized ZrTeSe3 structure at the PBE level of DFT.

Unit cell a=5.2177 b=5.2177 c=5.2177 alpha=90.00 beta=90.00 gamma=90.00
Positions (direct):
1 Te 0.5000 0.5000 0.5000
2 Se 0.0000 0.5000 0.0000
3 Se 0.0000 0.0000 0.5000
4 Se 0.5000 0.0000 0.0000
5 Zr 0.0000 0.0000 0.0000

=====

Most stable: #b (next structure +732 meV/atom)